The following is a PBE calculation of Cu2SiTc after structural relaxation, from Alexandria.

The total DFT energy (no corrections) is -23.674 eV per cell. As for the space group: No. 160.

Geometry as extended XYZ:
```
4
Lattice="1.370 0.791 8.138 -1.370 0.791 8.138 0.000 -1.582 8.138" Properties=species:S:1:pos:R:3 pbc="T T T"
Cu 0.000 0.000 0.000
Cu 0.000 0.000 6.087
Si 0.000 0.000 18.226
Tc 0.000 0.000 12.042
```